# 1
Compound: BaMn2Cd
Source: Alexandria via LeMat-Bulk
Functional: PBE
Structure: optimized geometry

* ΔH_f (0 K): 73.23 kJ/mol of atoms
* M_tot: 1.992 μB/atom
* symmetry: I-42d, No. 122

```
BaMn2Cd
1.0
8.3708 0.0000 0.0000
0.0000 8.3708 0.0000
4.1854 4.1854 3.2566
Cd Mn Ba
2 4 2
direct
0.5000 0.5000 0.0000 Cd
0.2500 0.7500 0.5000 Cd
0.5680 0.1250 0.2500 Mn
0.8750 0.8180 0.7500 Mn
0.1820 0.6250 0.2500 Mn
0.3750 0.4320 0.7500 Mn
0.7500 0.2500 0.5000 Ba
0.0000 0.0000 0.0000 Ba
```

# 2
Compound: BaMn2Cd
Source: Alexandria via LeMat-Bulk
Functional: PBE
Structure: optimized geometry

* ΔH_f (0 K): 56.60 kJ/mol of atoms
* M_tot: 0.025 μB/atom
* symmetry: F-43m, No. 216

```
BaMn2Cd
1.0
-3.5101 -3.9271 0.1041
1.6134 -4.9892 -0.5089
-0.1816 -3.2617 4.1331
Mn Cd Ba
2 1 1
direct
0.0000 0.0000 0.0000 Mn
0.7500 0.7500 0.7500 Mn
0.2500 0.2500 0.2500 Cd
0.5000 0.5000 0.5000 Ba
```

Which formula does entry 2 have?
BaMn2Cd